#w
3
Lattice="2.6131 0.0000 0.0000 -1.3066 2.2630 0.0000 0.0000 0.0000 6.2654" Properties=species:S:1:pos:R:3 comment="MnFeTc, relaxed, DFT GGA-PBE" rho_g_cm3=9.36 pbc="T T T"
Tc 1.3066 0.7543 4.1458
Mn 0.0000 1.5087 2.0442
Fe 0.0000 0.0000 0.0754

=====

#x
3
Lattice="4.8527 0.0004 0.0000 3.0701 3.7580 0.0000 -3.9614 -1.8792 2.0795" Properties=species:S:1:pos:R:3 comment="MnFeTc, relaxed, DFT GGA-PBE" rho_g_cm3=9.14 pbc="T T T"
Fe 7.8902 3.7429 0.0000
Mn 2.6711 1.2671 0.0000
Tc 5.2843 2.5067 0.0000

=====

#y
3
Lattice="3.9095 0.0000 0.0000 1.9548 3.3857 0.0000 1.9548 1.1286 3.1921" Properties=species:S:1:pos:R:3 comment="MnFeTc, relaxed, DFT GGA-PBE" rho_g_cm3=8.21 pbc="T T T"
Fe 3.9095 2.2572 1.5961
Mn 5.8643 3.3857 2.3941
Tc 0.0000 0.0000 0.0000

=====

Most stable: #x (next structure +121 meV per atom)

=====

#w
3
Lattice="4.1260 0.0000 0.0000 2.0630 3.5732 0.0000 2.0630 1.1911 3.3689" Properties=species:S:1:pos:R:3 comment="MnFeTe, relaxed, DFT GGA-PBE" rho_g_cm3=7.97 pbc="T T T"
Te 6.1890 3.5732 2.5267
Fe 0.0000 0.0000 0.0000
Mn 2.0630 1.1911 0.8422

=====

#x
3
Lattice="4.1802 0.0000 0.0000 -2.0901 3.6201 0.0000 0.0000 0.0000 3.1900" Properties=species:S:1:pos:R:3 comment="MnFeTe, relaxed, DFT GGA-PBE" rho_g_cm3=8.20 pbc="T T T"
Te 0.0000 2.4134 2.6562
Fe 0.0000 0.0000 2.6614
Mn 2.0901 1.2067 1.0625

=====

Most stable: #w (next structure +373 meV per atom)

=====

#w
3
Lattice="4.1071 0.0000 0.0000 2.0535 3.5569 0.0000 2.0535 1.1856 3.3534" Properties=species:S:1:pos:R:3 comment="MnFeTe, relaxed, DFT GGA-PBE" rho_g_cm3=8.08 pbc="T T T"
Fe 4.1071 2.3712 1.6767
Mn 6.1606 3.5569 2.5151
Te 0.0000 0.0000 0.0000

=====

#x
3
Lattice="4.7284 -0.0047 0.0000 2.2163 4.1768 0.0000 -3.4723 -2.0860 2.4390" Properties=species:S:1:pos:R:3 comment="MnFeTe, relaxed, DFT GGA-PBE" rho_g_cm3=8.21 pbc="T T T"
Te 4.6311 2.7821 0.0000
Fe 6.9170 4.1554 0.0000
Mn 2.3413 1.4065 0.0000

=====

#y
6
Lattice="3.9541 0.0000 0.0000 0.0000 2.9936 0.0000 0.0000 1.4968 9.7665" Properties=species:S:1:pos:R:3 comment="MnFeTe, relaxed, DFT GGA-PBE" rho_g_cm3=6.85 pbc="T T T"
Mn 2.9655 1.4968 8.3234
Te 0.9885 2.9936 6.6123
Fe 0.9885 2.9936 9.1467
Fe 2.9655 1.4968 0.6198
Mn 0.9885 2.9936 1.4431
Te 2.9655 1.4968 3.1542

=====

Most stable: #y (next structure +78 meV per atom)

=====

#w
5
Lattice="4.1295 0.0000 0.0000 0.0000 4.1295 0.0000 0.0000 0.0000 4.1295" Properties=species:S:1:pos:R:3 comment="TiMn3Fe, relaxed, DFT GGA-PBE" rho_g_cm3=6.33 pbc="T T T"
Mn 0.0000 0.0000 2.0647
Fe 0.0000 0.0000 0.0000
Mn 2.0647 0.0000 0.0000
Mn 0.0000 2.0647 0.0000
Ti 2.0647 2.0647 2.0647

=====

#x
5
Lattice="4.1395 0.0000 0.0000 0.0000 4.1395 0.0000 0.0000 0.0000 4.1395" Properties=species:S:1:pos:R:3 comment="TiMn3Fe, relaxed, DFT GGA-PBE" rho_g_cm3=6.29 pbc="T T T"
Mn 0.0000 2.0697 0.0000
Ti 0.0000 0.0000 0.0000
Fe 2.0697 2.0697 2.0697
Mn 0.0000 0.0000 2.0697
Mn 2.0697 0.0000 0.0000

=====

Most stable: #w (next structure +776 meV per atom)